DFT (meta-GGA SCAN) results for a PBEsol-optimized structure of ZnB3H.

Cell: 3.321 3.321 3.321 Å, 90.00 90.00 90.00°
Sites, in units of the cell vectors:
1 Zn 0.000 0.000 0.000
2 B 0.000 0.500 0.500
3 B 0.500 0.000 0.500
4 B 0.500 0.500 0.000
5 H 0.500 0.500 0.500

Calculated values
- V: 7.32 Å³ per atom
- E_tot: -0.2275 Ha/atom
- Total moment: 0.0 μB per formula unit
- Fermi-level density of states: 1.462 states/eV/f.u.

DFT (meta-GGA SCAN) results for a PBEsol-optimized structure of ZnB2H8.

Cell: 7.690 7.690 7.690 Å, 129.01 129.01 74.99°
Sites, in units of the cell vectors:
1 Zn 0.000 0.000 0.000
2 Zn 0.750 0.250 0.500
3 B 0.375 0.057 0.182
4 B 0.807 0.125 0.182
5 B 0.875 0.193 0.818
6 B 0.943 0.625 0.818
7 H 0.004 0.216 0.310
8 H 0.032 0.312 0.075
9 H 0.042 0.762 0.075
10 H 0.062 0.488 0.780
11 H 0.238 0.958 0.925
12 H 0.306 0.094 0.310
13 H 0.444 0.254 0.288
14 H 0.512 0.938 0.220
15 H 0.688 0.968 0.925
16 H 0.708 0.282 0.220
17 H 0.718 0.292 0.780
18 H 0.746 0.556 0.712
19 H 0.784 0.996 0.690
20 H 0.844 0.034 0.288
21 H 0.906 0.694 0.690
22 H 0.966 0.156 0.712

Calculated values
- V: 12.15 Å³ per atom
- Offset from the most stable computed form: 0.000 eV/atom
- Total moment: 0.0 μB per formula unit
- Fermi-level density of states: 0.000 states/eV/f.u.

DFT (meta-GGA SCAN) results for a PBEsol-optimized structure of HfB12.

Cell: 5.197 5.197 5.197 Å, 60.00 60.00 60.00°
Sites, in units of the cell vectors:
1 Hf 0.000 0.000 0.000
2 B 0.161 0.500 0.500
3 B 0.161 0.500 0.839
4 B 0.161 0.839 0.500
5 B 0.500 0.161 0.500
6 B 0.500 0.161 0.839
7 B 0.500 0.500 0.161
8 B 0.500 0.500 0.839
9 B 0.500 0.839 0.161
10 B 0.500 0.839 0.500
11 B 0.839 0.161 0.500
12 B 0.839 0.500 0.161
13 B 0.839 0.500 0.500

Calculated values
- DFT formation energy: -282 kJ/mol of formula units
- V: 7.64 Å³ per atom
- Total moment: 0.0 μB per formula unit
- Fermi-level density of states: 1.074 states/eV/f.u.

DFT (meta-GGA SCAN) results for a PBEsol-optimized structure of HfB2.

Cell: 3.129 3.129 3.444 Å, 90.00 90.00 120.00°
Sites, in units of the cell vectors:
1 Hf 0.000 0.000 0.000
2 B 0.333 0.667 0.500
3 B 0.667 0.333 0.500

Calculated values
- DFT formation energy: -310 kJ/mol of formula units
- V: 9.73 Å³ per atom
- Total moment: 0.0 μB per formula unit
- Fermi-level density of states: 0.215 states/eV/f.u.